# 1
A relaxed structure of SrLi2Hg. Source: Alexandria via LeMat-Bulk, functional PBE.

a = 6.1610 Å, b = 6.1610 Å, c = 6.1610 Å
α = 45.06°, β = 45.06°, γ = 45.06°
Last column: nearest neighbours and their distance in Å.
Fractional coordinates of all 4 atoms:
1 Li 0.4525 0.4525 0.4525  3 Hg 2.79, 3 Li 2.97
2 Hg 0.7500 0.7500 0.7500  6 Li 2.79
3 Li 0.0475 0.0475 0.0475  3 Hg 2.79, 3 Li 2.97
4 Sr 0.2500 0.2500 0.2500  8 Li 3.36-3.48

Properties
Energy (eV for the cell shown): -6.78
DOS at the Fermi energy (states/eV/cell): 1.58
Total moment (μB/atom): 0.00
DFT formation energy (eV/atom): -0.242
Space group: R-3m, No. 166



# 2
A relaxed structure of HoThNb. Source: Alexandria via LeMat-Bulk, functional PBE.

a = 4.9947 Å, b = 5.3176 Å, c = 6.5904 Å
α = 88.31°, β = 112.27°, γ = 90.00°
Last column: nearest neighbours and their distance in Å.
Fractional coordinates of all 6 atoms:
1 Ho 0.5945 0.7320 0.1891  4 Nb 3.03-3.33
2 Nb 0.7375 0.1882 0.4750  3 Th 2.97-3.04, 3 Ho 3.03-3.27, 2 Nb 3.21
3 Ho 0.4055 0.2680 0.8109  4 Nb 3.03-3.33
4 Nb 0.2625 0.8118 0.5250  3 Th 2.97-3.04, 3 Ho 3.03-3.27, 2 Nb 3.21
5 Th 0.8896 0.7232 0.7791  3 Nb 2.97-3.04
6 Th 0.1104 0.2768 0.2209  3 Nb 2.97-3.04

Properties
Energy (eV for the cell shown): -42.89
DOS at the Fermi energy (states/eV/cell): 7.35
Total moment (μB/atom): 0.00
DFT formation energy (eV/atom): 0.208
Space group: C2/m, No. 12



# 3
A relaxed structure of Dy8Er5Zr. Source: Alexandria via LeMat-Bulk, functional PBE.

a = 8.5451 Å, b = 8.9841 Å, c = 8.5452 Å
α = 123.08°, β = 123.51°, γ = 83.13°
Last column: nearest neighbours and their distance in Å.
Fractional coordinates of all 14 atoms:
1 Dy 0.4145 0.3161 0.9773  1 Zr 3.35, 5 Dy 3.38-3.55, 1 Er 3.76
2 Er 0.0597 0.0273 0.3063  3 Er 3.24-3.55, 4 Dy 3.31-3.49, 1 Zr 3.45
3 Er 0.2790 0.9727 0.0324  3 Er 3.24-3.55, 4 Dy 3.31-3.49, 1 Zr 3.45
4 Er 0.8092 0.7156 0.6244  6 Dy 3.25-3.65, 2 Er 3.40-3.56, 1 Zr 3.46
5 Dy 0.1244 0.7212 0.4880  1 Zr 3.07, 4 Dy 3.19-3.38, 2 Er 3.25-3.31
6 Dy 0.6613 0.6839 0.0985  1 Zr 3.35, 5 Dy 3.38-3.55
7 Dy 0.5841 0.9337 0.8850  4 Dy 3.19-3.41, 5 Er 3.31-3.40
8 Er 0.9088 0.2844 0.0936  6 Dy 3.25-3.65, 2 Er 3.40-3.56, 1 Zr 3.46
9 Dy 0.4371 0.4315 0.4983  1 Zr 3.16, 2 Dy 3.30-3.50, 1 Er 3.49
10 Zr 0.1825 0.5000 0.6825  6 Dy 3.07-3.35
11 Dy 0.7668 0.2788 0.4032  1 Zr 3.07, 4 Dy 3.19-3.38, 2 Er 3.25-3.31
12 Er 0.5046 0.0000 0.5046  4 Er 3.24-3.56, 2 Dy 3.31
13 Dy 0.0668 0.5685 0.0055  1 Zr 3.16, 2 Dy 3.30-3.50, 1 Er 3.49
14 Dy 0.9513 0.0663 0.6504  4 Dy 3.19-3.41, 5 Er 3.31-3.40

Properties
Energy (eV for the cell shown): -65.31
DOS at the Fermi energy (states/eV/cell): 20.17
Total moment (μB/atom): 0.00
DFT formation energy (eV/atom): 0.205
Space group: C2, No. 5



# 4
A relaxed structure of TaCo2. Source: Alexandria via LeMat-Bulk, functional PBE.

a = 3.4137 Å, b = 3.4137 Å, c = 3.7345 Å
α = 90.00°, β = 90.00°, γ = 90.00°
Last column: nearest neighbours and their distance in Å.
Fractional coordinates of all 3 atoms:
1 Ta 0.0000 0.0000 0.0000  8 Co 2.53
2 Co 0.5000 0.0000 0.5000  4 Co 2.41, 4 Ta 2.53
3 Co 0.0000 0.5000 0.5000  4 Co 2.41, 4 Ta 2.53

Properties
Energy (eV for the cell shown): -24.98
DOS at the Fermi energy (states/eV/cell): 4.07
Total moment (μB/atom): 0.00
DFT formation energy (eV/atom): 0.363
Space group: P4/mmm, No. 123



# 5
A relaxed structure of ZnNiAg2. Source: Alexandria via LeMat-Bulk, functional PBE.

a = 2.8167 Å, b = 3.8399 Å, c = 5.6324 Å
α = 90.00°, β = 90.00°, γ = 90.00°
Last column: nearest neighbours and their distance in Å.
Fractional coordinates of all 4 atoms:
1 Ni 0.5000 0.5000 0.2500  8 Ag 2.75, 2 Zn 2.82, 2 Ni 2.82
2 Zn 0.5000 0.5000 0.7500  8 Ag 2.78, 2 Ni 2.82, 2 Zn 2.82
3 Ag 0.0000 0.0000 0.0048  4 Ni 2.75, 4 Ag 2.76-2.87, 4 Zn 2.78
4 Ag 0.0000 0.0000 0.4952  4 Ni 2.75, 4 Ag 2.76-2.87, 4 Zn 2.78

Properties
Energy (eV for the cell shown): -12.33
DOS at the Fermi energy (states/eV/cell): 1.59
Total moment (μB/atom): 0.00
DFT formation energy (eV/atom): 0.106
Space group: Pmmm, No. 47



# 6
A relaxed structure of TbMgAgSn. Source: Alexandria via LeMat-Bulk, functional PBE.

a = 5.0885 Å, b = 5.0885 Å, c = 5.0885 Å
α = 60.00°, β = 60.00°, γ = 60.00°
Last column: nearest neighbours and their distance in Å.
Fractional coordinates of all 4 atoms:
1 Tb 0.0000 0.0000 0.0000  4 Sn 3.12, 4 Ag 3.12
2 Mg 0.5000 0.5000 0.5000  4 Sn 3.12, 4 Ag 3.12
3 Ag 0.7500 0.7500 0.7500  4 Tb 3.12, 4 Mg 3.12
4 Sn 0.2500 0.2500 0.2500  4 Tb 3.12, 4 Mg 3.12

Properties
Energy (eV for the cell shown): -14.67
DOS at the Fermi energy (states/eV/cell): 1.93
Total moment (μB/atom): 0.00
DFT formation energy (eV/atom): -0.397
Space group: F-43m, No. 216



# 7
A relaxed structure of Zr8Co2Pt. Source: Alexandria via LeMat-Bulk, functional PBE.

a = 4.6573 Å, b = 6.0573 Å, c = 8.8442 Å
α = 111.15°, β = 105.27°, γ = 90.00°
Last column: nearest neighbours and their distance in Å.
Fractional coordinates of all 11 atoms:
1 Zr 0.3219 0.6584 0.6438  1 Co 2.50
2 Zr 0.7969 0.9443 0.5938  1 Co 2.61
3 Zr 0.9707 0.7120 0.9414  1 Co 2.41
4 Zr 0.2031 0.0557 0.4062  1 Co 2.61
5 Zr 0.6781 0.3416 0.3562  1 Co 2.50
6 Zr 0.5937 0.7049 0.1875  1 Pt 2.81, 2 Co 2.84, 3 Zr 3.05-3.15
7 Pt 0.5000 0.0000 0.0000  8 Zr 2.81-2.97
8 Co 0.1684 0.5975 0.3368  3 Zr 2.41-2.61
9 Zr 0.4063 0.2951 0.8125  1 Pt 2.81, 2 Co 2.84, 3 Zr 3.05-3.15
10 Zr 0.0293 0.2880 0.0586  1 Co 2.41
11 Co 0.8316 0.4025 0.6632  3 Zr 2.41-2.61

Properties
Energy (eV for the cell shown): -91.75
DOS at the Fermi energy (states/eV/cell): 9.72
Total moment (μB/atom): 0.00
DFT formation energy (eV/atom): -0.283
Space group: C2/m, No. 12



# 8
A relaxed structure of Dy5CdPd2. Source: Alexandria via LeMat-Bulk, functional PBE.

a = 7.8874 Å, b = 7.8874 Å, c = 8.6868 Å
α = 117.00°, β = 117.00°, γ = 90.00°
Last column: nearest neighbours and their distance in Å.
Fractional coordinates of all 16 atoms:
1 Pd 0.3664 0.8664 0.0000  8 Dy 2.97-3.08, 1 Pd 2.98
2 Dy 0.2992 0.7992 0.2804  3 Pd 2.97-2.98, 2 Cd 3.31
3 Dy 0.0188 0.5188 0.7196  3 Pd 2.97-2.98, 2 Cd 3.31
4 Pd 0.8664 0.6336 0.0000  8 Dy 2.97-3.08, 1 Pd 2.98
5 Dy 0.4812 0.2992 0.2804  3 Pd 2.97-2.98, 2 Cd 3.31
6 Dy 0.5000 0.5000 0.0000  4 Pd 3.08, 2 Cd 3.33
7 Dy 0.7992 0.9812 0.2804  3 Pd 2.97-2.98, 2 Cd 3.31
8 Pd 0.6336 0.1336 0.0000  8 Dy 2.97-3.08, 1 Pd 2.98
9 Dy 0.9812 0.4812 0.2804  3 Pd 2.97-2.98, 2 Cd 3.31
10 Dy 0.0000 0.0000 0.0000  4 Pd 3.08, 2 Cd 3.33
11 Dy 0.5188 0.7008 0.7196  3 Pd 2.97-2.98, 2 Cd 3.31
12 Dy 0.7008 0.2008 0.7196  3 Pd 2.97-2.98, 2 Cd 3.31
13 Dy 0.2008 0.0188 0.7196  3 Pd 2.97-2.98, 2 Cd 3.31
14 Cd 0.7500 0.7500 0.5000  10 Dy 3.31-3.33
15 Cd 0.2500 0.2500 0.5000  10 Dy 3.31-3.33
16 Pd 0.1336 0.3664 0.0000  8 Dy 2.97-3.08, 1 Pd 2.98

Properties
Energy (eV for the cell shown): -77.12
DOS at the Fermi energy (states/eV/cell): 18.83
Total moment (μB/atom): 0.00
DFT formation energy (eV/atom): -0.531
Space group: I4/mcm, No. 140



# 9
A relaxed structure of LiTbIr. Source: Alexandria via LeMat-Bulk, functional PBE.

a = 4.7967 Å, b = 3.3044 Å, c = 14.9578 Å
α = 90.00°, β = 90.00°, γ = 90.00°
Last column: nearest neighbours and their distance in Å.
Fractional coordinates of all 12 atoms:
1 Ir 0.7916 0.2500 0.5793  2 Li 2.70, 6 Tb 2.90-2.94
2 Li 0.2725 0.7501 0.2782  2 Ir 2.70, 2 Li 2.86
3 Tb 0.7895 0.7500 0.4166  6 Ir 2.90-2.94, 2 Li 3.11-3.23
4 Li 0.2275 0.2499 0.7782  2 Ir 2.70, 2 Li 2.86
5 Li 0.7725 0.7499 0.7218  2 Ir 2.70, 2 Li 2.86
6 Ir 0.7084 0.7500 0.0793  2 Li 2.70, 6 Tb 2.90-2.94
7 Ir 0.2916 0.2500 0.4207  2 Li 2.70, 6 Tb 2.90-2.94
8 Tb 0.2895 0.7500 0.5834  6 Ir 2.90-2.94, 2 Li 3.11-3.23
9 Tb 0.7105 0.2500 0.9166  6 Ir 2.90-2.94, 2 Li 3.11-3.23
10 Ir 0.2084 0.7500 0.9207  2 Li 2.70, 6 Tb 2.90-2.94
11 Tb 0.2105 0.2500 0.0834  6 Ir 2.90-2.94, 2 Li 3.11-3.23
12 Li 0.7275 0.2501 0.2218  2 Ir 2.70, 2 Li 2.86

Properties
Energy (eV for the cell shown): -67.29
DOS at the Fermi energy (states/eV/cell): 4.98
Total moment (μB/atom): 0.00
DFT formation energy (eV/atom): -0.472
Space group: Pnma, No. 62
ΔE to the lowest computed polymorph (eV/f.u.): 0.11



# 10
A relaxed structure of LaZn2CdPd2. Source: Alexandria via LeMat-Bulk, functional PBE.

a = 4.7619 Å, b = 4.7619 Å, c = 5.8897 Å
α = 90.00°, β = 90.00°, γ = 90.00°
Last column: nearest neighbours and their distance in Å.
Fractional coordinates of all 6 atoms:
1 La 0.0000 0.0000 0.5000  2 Cd 2.94
2 Zn 0.0000 0.5000 0.0000  2 Cd 2.38
3 Pd 0.5000 0.5000 0.7474  4 Zn 2.81, 2 Pd 2.91-2.98
4 Zn 0.5000 0.0000 0.0000  2 Cd 2.38
5 Cd 0.0000 0.0000 0.0000  4 Zn 2.38
6 Pd 0.5000 0.5000 0.2526  4 Zn 2.81, 2 Pd 2.91-2.98

Properties
Energy (eV for the cell shown): -18.64
DOS at the Fermi energy (states/eV/cell): 2.56
Total moment (μB/atom): 0.00
DFT formation energy (eV/atom): 0.022
Space group: P4/mmm, No. 123